# 1
POs (GGA-PBE, relaxed); N(E_F) = 0.4903 states/eV per atom; ΔE_f = 0.043 eV per atom
1.0
11.1910 0.0000 0.0000
0.0000 11.1910 0.0000
0.0000 0.0000 2.9338
P Os
8 8
direct
0.0885 0.6394 0.0000
0.2572 0.3693 0.5000
0.3606 0.0885 0.0000
0.3693 0.7428 0.5000
0.6307 0.2572 0.5000
0.6394 0.9115 0.0000
0.7428 0.6307 0.5000
0.9115 0.3606 0.0000
0.1085 0.4256 0.0000
0.2371 0.5850 0.5000
0.4150 0.2371 0.5000
0.4256 0.8915 0.0000
0.5744 0.1085 0.0000
0.5850 0.7629 0.5000
0.7629 0.4150 0.5000
0.8915 0.5744 0.0000


# 2
Er8Tm5Mg (GGA-PBE, relaxed); N(E_F) = 1.3956 states/eV per atom; ΔE_f = 0.238 eV per atom
1.0
-4.7311 4.7311 4.9118
4.7311 -4.7311 4.9118
4.7311 4.7311 -4.9118
Er Tm Mg
8 5 1
direct
0.0821 0.3403 0.6054
0.1619 0.4327 0.0882
0.3445 0.0738 0.9118
0.5232 0.9179 0.2582
0.5673 0.6555 0.7292
0.6597 0.2650 0.7418
0.7350 0.4768 0.3946
0.9262 0.8381 0.2708
0.0260 0.7137 0.8993
0.2863 0.1856 0.3123
0.5000 0.5000 0.0000
0.8144 0.1267 0.1007
0.8733 0.9740 0.6877
0.2500 0.7500 0.5000


# 3
Li2BePt (GGA-PBE, relaxed); N(E_F) = 0.3081 states/eV per atom; ΔE_f = -0.415 eV per atom
1.0
2.8333 0.0000 0.0000
0.0000 3.9179 0.0000
0.0000 0.0000 4.3433
Li Be Pt
2 1 1
direct
0.0000 0.0000 0.0000
0.5000 0.5000 0.0000
0.0000 0.5000 0.5000
0.5000 0.0000 0.5000


# 4
Tl2AgSb (GGA-PBE, relaxed); N(E_F) = 0.5827 states/eV per atom; formation energy without anion corrections = 0.181 eV/atom; energy above the lowest structure with this stoichiometry = 0.1757 eV per atom
1.0
-4.2765 4.2765 3.0700
4.2765 -4.2765 3.0700
4.2765 4.2765 -3.0700
Tl Ag Sb
4 2 2
direct
0.1123 0.6250 0.9873
0.3750 0.3623 0.4873
0.6377 0.1250 0.0127
0.8750 0.8877 0.5127
0.0000 0.0000 0.0000
0.7500 0.2500 0.5000
0.2500 0.7500 0.5000
0.5000 0.5000 0.0000


# 5
BaSrCa2S4 (GGA-PBE, relaxed); N(E_F) = 0.0000 states/eV per atom; formation energy without anion corrections = -2.093 eV/atom
1.0
-4.2348 4.2457 5.9974
4.2348 -4.2457 5.9974
4.2348 4.2457 -5.9974
Ba Sr Ca S
2 2 4 8
direct
0.5000 0.0000 0.0000
0.5000 0.5000 0.5000
0.0000 0.0000 0.0000
0.5000 0.0000 0.5000
0.0000 0.0000 0.5000
0.0000 0.5000 0.0000
0.0000 0.5000 0.5000
0.5000 0.5000 0.0000
0.2265 0.7456 0.4809
0.2352 0.2544 0.9809
0.2407 0.2491 0.5084
0.2407 0.7323 0.9916
0.7593 0.2677 0.0084
0.7593 0.7509 0.4916
0.7648 0.7456 0.0191
0.7735 0.2544 0.5191


# 6
TmAlPdRu (GGA-PBE, relaxed); N(E_F) = 0.2556 states/eV per atom; ΔE_f = -0.705 eV per atom
1.0
0.0000 3.2244 3.2244
3.2244 0.0000 3.2244
3.2244 3.2244 0.0000
Tm Al Pd Ru
1 1 1 1
direct
0.0000 0.0000 0.0000
0.5000 0.5000 0.5000
0.2500 0.2500 0.2500
0.7500 0.7500 0.7500


# 7
Ti2VOs (GGA-PBE, relaxed); N(E_F) = 1.1852 states/eV per atom; ΔE_f = -0.352 eV per atom
1.0
0.0000 3.1085 3.1085
3.1085 0.0000 3.1085
3.1085 3.1085 0.0000
Ti V Os
2 1 1
direct
0.2500 0.2500 0.2500
0.7500 0.7500 0.7500
0.0000 0.0000 0.0000
0.5000 0.5000 0.5000


# 8
SIO2 (GGA-PBE, relaxed); N(E_F) = 0.3097 states/eV per atom; formation energy without anion corrections = 0.012 eV/atom; energy above the lowest structure with this stoichiometry = 0.0000 eV per atom
1.0
1.6434 0.9488 8.5204
-1.6434 0.9488 8.5204
0.0000 -1.8977 8.5204
S I O
1 1 2
direct
0.0000 0.0000 0.0000
0.5000 0.5000 0.5000
0.0581 0.0581 0.0581
0.9419 0.9419 0.9419


# 9
KSiS2N (GGA-PBE, relaxed); N(E_F) = 0.5342 states/eV per atom; formation energy without anion corrections = -0.032 eV/atom; energy above the lowest structure with this stoichiometry = 0.0000 eV per atom
1.0
5.3520 0.0000 0.0000
0.0000 5.3520 0.0000
0.0000 0.0000 3.2306
K Si S N
1 1 2 1
direct
0.0000 0.0000 0.0000
0.5000 0.5000 0.5000
0.0000 0.5000 0.5000
0.5000 0.0000 0.5000
0.5000 0.5000 0.0000


# 10
AcLaLuTl (GGA-PBE, relaxed); N(E_F) = 1.7979 states/eV per atom; ΔE_f = 0.030 eV per atom
1.0
0.0000 4.0256 4.0256
4.0256 0.0000 4.0256
4.0256 4.0256 0.0000
Ac La Lu Tl
1 1 1 1
direct
0.0000 0.0000 0.0000
0.7500 0.7500 0.7500
0.2500 0.2500 0.2500
0.5000 0.5000 0.5000


# 11
PIr2Os (GGA-PBE, relaxed); N(E_F) = 0.6325 states/eV per atom; ΔE_f = 0.262 eV per atom
1.0
2.7843 0.0000 0.0000
0.0000 3.7600 0.0000
0.0000 0.0000 5.4397
P Ir Os
1 2 1
direct
0.0000 0.0000 0.0000
0.5000 0.5000 0.2531
0.5000 0.5000 0.7469
0.0000 0.0000 0.5000


# 12
Ho6ThSe8 (GGA-PBE, relaxed); N(E_F) = 0.4954 states/eV per atom; formation energy without anion corrections = -1.751 eV/atom
1.0
0.0000 5.7287 5.7287
5.7287 0.0000 5.7287
5.7287 5.7287 0.0000
Ho Th Se
6 1 8
direct
0.0000 0.0000 0.5000
0.0000 0.5000 0.0000
0.0000 0.5000 0.5000
0.5000 0.0000 0.0000
0.5000 0.0000 0.5000
0.5000 0.5000 0.0000
0.0000 0.0000 0.0000
0.2500 0.2500 0.2500
0.2618 0.2618 0.7382
0.2618 0.7382 0.2618
0.2618 0.7382 0.7382
0.7382 0.2618 0.2618
0.7382 0.2618 0.7382
0.7382 0.7382 0.2618
0.7500 0.7500 0.7500


# 13
NpGeBi (GGA-PBE, relaxed); N(E_F) = 2.5841 states/eV per atom; ΔE_f = 0.196 eV per atom; energy above the lowest structure with this stoichiometry = 0.0000 eV per atom
1.0
-1.9706 1.9706 5.1973
1.9706 -1.9706 5.1973
1.9706 1.9706 -5.1973
Np Ge Bi
1 1 1
direct
0.0000 0.0000 0.0000
0.4042 0.4042 0.0000
0.6841 0.6841 0.0000


# 14
LiHfB2Au (GGA-PBE, relaxed); N(E_F) = 0.5566 states/eV per atom; ΔE_f = 1.596 eV per atom
1.0
4.3441 0.0000 0.0000
0.0000 4.3441 0.0000
0.0000 0.0000 5.1818
Li Hf B Au
1 1 2 1
direct
0.0000 0.0000 0.0000
0.0000 0.0000 0.5000
0.0000 0.5000 0.5000
0.5000 0.0000 0.5000
0.5000 0.5000 0.0000


# 15
Tb4SnI5 (GGA-PBE, relaxed); N(E_F) = 0.4726 states/eV per atom; formation energy without anion corrections = -1.081 eV/atom
1.0
9.6141 -2.1551 0.0000
9.6141 2.1551 0.0000
-1.8771 0.0000 8.7839
Tb Sn I
4 1 5
direct
0.0010 0.0010 0.2251
0.3454 0.3454 0.9252
0.6546 0.6546 0.0748
0.9990 0.9990 0.7749
0.5000 0.5000 0.0000
0.1674 0.1674 0.3308
0.1714 0.1714 0.8274
0.5000 0.5000 0.5000
0.8286 0.8286 0.1726
0.8326 0.8326 0.6692


# 16
Cs2ZrTiF6 (GGA-PBE, relaxed); N(E_F) = 0.8535 states/eV per atom; formation energy without anion corrections = -2.676 eV/atom
1.0
-3.1520 3.1520 4.4500
3.1520 -3.1520 4.4500
3.1520 3.1520 -4.4500
Cs Zr Ti F
2 1 1 6
direct
0.2500 0.7500 0.5000
0.7500 0.2500 0.5000
0.0000 0.0000 0.0000
0.5000 0.5000 0.0000
0.2553 0.2553 0.0000
0.2555 0.2555 0.5110
0.2555 0.7445 0.0000
0.7445 0.2555 0.0000
0.7447 0.7447 0.0000
0.7445 0.7445 0.4890


# 17
LiZrPd3 (GGA-PBE, relaxed); N(E_F) = 0.6314 states/eV per atom; ΔE_f = -0.292 eV per atom; energy above the lowest structure with this stoichiometry = 0.1045 eV per atom
1.0
4.4877 0.0000 0.0000
0.0000 5.4542 0.0000
-0.0339 0.0000 7.6439
Li Zr Pd
2 2 6
direct
0.0007 0.2500 0.1912
0.9993 0.7500 0.8088
0.4978 0.2500 0.6659
0.5022 0.7500 0.3341
0.0010 0.7500 0.1418
0.4985 0.7500 0.6817
0.5000 0.0000 0.0000
0.5000 0.5000 0.0000
0.5015 0.2500 0.3183
0.9990 0.2500 0.8582


# 18
VInRhBr2 (GGA-PBE, relaxed); N(E_F) = 0.4873 states/eV per atom; formation energy without anion corrections = 0.291 eV/atom
1.0
5.2511 0.0000 0.0000
0.0000 5.2511 0.0000
0.0000 0.0000 4.7537
V In Rh Br
1 1 1 2
direct
0.0000 0.0000 0.0000
0.5000 0.5000 0.0000
0.0000 0.0000 0.5000
0.0000 0.5000 0.5000
0.5000 0.0000 0.5000


# 19
Tm6Fe (GGA-PBE, relaxed); N(E_F) = 1.2827 states/eV per atom; ΔE_f = 0.007 eV per atom
1.0
11.7636 0.0000 0.0000
0.0000 10.7553 0.0000
0.0000 0.0000 6.1987
Tm Fe
24 4
direct
0.0020 0.0765 0.2460
0.0020 0.4235 0.2460
0.0028 0.7500 0.2606
0.2462 0.0789 0.5855
0.2462 0.4211 0.5855
0.2486 0.2500 0.0740
0.2514 0.7500 0.5740
0.2538 0.5789 0.0855
0.2538 0.9211 0.0855
0.4972 0.2500 0.7606
0.4980 0.5765 0.7460
0.4980 0.9235 0.7460
0.5020 0.0765 0.2540
0.5020 0.4235 0.2540
0.5028 0.7500 0.2394
0.7462 0.0789 0.9145
0.7462 0.4211 0.9145
0.7486 0.2500 0.4260
0.7514 0.7500 0.9260
0.7538 0.5789 0.4145
0.7538 0.9211 0.4145
0.9972 0.2500 0.7394
0.9980 0.5765 0.7540
0.9980 0.9235 0.7540
0.1255 0.7500 0.9164
0.3745 0.2500 0.4164
0.6255 0.7500 0.5836
0.8745 0.2500 0.0836


# 20
La3PSe2 (GGA-PBE, relaxed); N(E_F) = 0.4211 states/eV per atom; formation energy without anion corrections = -1.918 eV/atom; energy above the lowest structure with this stoichiometry = 0.0000 eV per atom
1.0
-2.1396 3.0333 6.5024
2.1396 -3.0333 6.5024
2.1396 3.0333 -6.5024
La P Se
3 1 2
direct
0.0000 0.0000 0.0000
0.3434 0.3434 0.0000
0.6566 0.6566 0.0000
0.5000 0.0000 0.5000
0.1689 0.6689 0.5000
0.8311 0.3311 0.5000